Record 1
ZrRu2Pt, optimized geometry, DFT PBE; total magnetic moment = 0.0000 μB per atom; space-group type = No. 65; formation energy from the elements = -102 kJ/mol of formula units
1.0
4.6476 0.0232 0.0000
-1.1220 4.5102 0.0000
0.0000 0.0000 3.0577
Ru Zr Pt
2 1 1
Direct
0.5000 0.5000 0.0000
0.0000 0.0000 0.0000
0.5000 0.0000 0.5000
0.0000 0.5000 0.5000



Record 2
AgH3S, optimized geometry, DFT PBE; total magnetic moment = 0.0000 μB per atom; raw total energy = -13.2 eV/f.u.; space-group type = No. 221
1.0
3.6365 0.0000 0.0000
0.0000 3.6365 0.0000
0.0000 0.0000 3.6365
H Ag S
3 1 1
Direct
0.0000 0.0000 0.5000
0.5000 0.0000 0.0000
0.0000 0.5000 0.0000
0.5000 0.5000 0.5000
0.0000 0.0000 0.0000



Record 3
SrCdNi2, optimized geometry, DFT PBE; total magnetic moment = 0.1353 μB per atom; space-group type = No. 160; formation energy from the elements = -15 kJ/mol of formula units
1.0
-2.5141 -1.6039 2.9635
1.3927 -3.0853 2.4933
1.5446 2.3124 5.5492
Ni Sr Cd
2 1 1
Direct
0.6941 0.6941 0.9178
0.0268 0.0268 0.9197
0.4854 0.4854 0.5438
0.2937 0.2937 0.1187



Record 4
TbCeRuRh, optimized geometry, DFT PBE; total magnetic moment = 0.0392 μB per atom; space-group type = No. 216; formation energy from the elements = -207 kJ/mol of formula units
1.0
-3.1092 -2.7229 2.5962
1.6303 -3.8815 2.4691
0.1549 0.0991 4.8772
Rh Ru Ce Tb
1 1 1 1
Direct
0.7500 0.7500 0.7500
0.2500 0.2500 0.2500
0.0000 0.0000 0.0000
0.5000 0.5000 0.5000